# 1
Below is Ba3LiTi3O8 after structural relaxation, with properties calculated at the GGA-PBE level.

The value obtained for the polymorph energy (0 for the lowest one) is 22 meV per atom. The volume comes out at 230 Å³ per cell. For the raw formation energy, the calculation gives -2.657 eV per atom.

Lattice parameters (Å, degrees): 5.9099 5.9099 7.8637 101.18 101.18 59.29
Sites, in units of the cell vectors:
Ba1 0.0000 0.0000 0.0000
Ba2 0.2324 0.2324 0.4502
Ba3 0.6151 0.6151 0.7165
Li1 0.5040 0.5040 0.3130
Ti1 0.3254 0.3254 0.8924
Ti2 0.7032 0.7032 0.1515
Ti3 0.9166 0.9166 0.5486
O1 0.0133 0.4983 0.0517
O2 0.1117 0.6010 0.7366
O3 0.2209 0.7478 0.4458
O4 0.4983 0.0133 0.0517
O5 0.5164 0.5164 0.0652
O6 0.6010 0.1117 0.7366
O7 0.7253 0.7253 0.3970
O8 0.7478 0.2209 0.4458


# 2
Below is Ba3LiTi3O8 after structural relaxation, with properties calculated at the GGA-PBE level.

The value obtained for the polymorph energy (0 for the lowest one) is 0 meV per atom. The volume comes out at 215 Å³ per cell. For the raw formation energy, the calculation gives -2.679 eV per atom.

Lattice parameters (Å, degrees): 5.9598 5.9598 7.2637 94.75 94.75 56.68
Sites, in units of the cell vectors:
Ba1 0.0000 0.0000 0.0000
Ba2 0.2954 0.2954 0.6890
Ba3 0.6002 0.6002 0.3969
Li1 0.7967 0.7967 0.1920
Ti1 0.3223 0.3223 0.1647
Ti2 0.6352 0.6352 0.8566
Ti3 0.9404 0.9404 0.5456
O1 0.1212 0.6301 0.3558
O2 0.2897 0.7955 0.6919
O3 0.4725 0.4725 0.0312
O4 0.4760 0.9746 0.0252
O5 0.6301 0.1212 0.3558
O6 0.7932 0.7932 0.6921
O7 0.7955 0.2897 0.6919
O8 0.9746 0.4760 0.0252